Compound: Zn3FeO
Source: the Alexandria database
Functional: PBE+U
Structure: optimized geometry

* symmetry: No. 221
* energy above the most stable polymorph in this dataset: 579 meV per atom
* N(E_F): 4.16 states/eV/cell
* total magnetic moment: 4.136 μB/f.u.

Geometry as POSCAR:
```
Zn3FeO
1.0
4.747 0.000 0.000
0.000 4.747 0.000
0.000 0.000 4.747
Zn Fe O
3 1 1
direct
0.000 0.000 0.500
0.000 0.500 0.000
0.500 0.000 0.000
0.000 0.000 0.000
0.500 0.500 0.500
```